i) # Ba2ZrCl

Crystalline Ba2ZrCl at its relaxed geometry (PBE-GGA, Alexandria).

```
Ba2ZrCl
1.0
3.7635 -0.1132 0.0000
-1.5844 3.4156 0.0000
0.0000 0.0000 11.2814
Zr Ba Cl
1 2 1
Direct
0.5000 0.5000 0.7027
0.0000 0.0000 0.9565
0.5000 0.5000 0.3066
0.0000 0.0000 0.5342
```

## Properties
Size of the total moment: 0.56 μB per formula unit


ii) # Ba2ZrCl

Crystalline Ba2ZrCl at its relaxed geometry (PBE-GGA, Alexandria).

```
Ba2ZrCl
1.0
3.8117 0.0000 0.0000
0.0000 3.8117 0.0000
0.0000 0.0000 12.0814
Cl Zr Ba
1 1 2
Direct
0.0000 0.0000 0.4342
0.5000 0.5000 0.7730
0.0000 0.0000 0.9807
0.5000 0.5000 0.3122
```

## Properties
Size of the total moment: 1.93 μB per formula unit


iii) # Ba2ZrCl

Crystalline Ba2ZrCl at its relaxed geometry (PBE-GGA, Alexandria).

```
Ba2ZrCl
1.0
-5.0507 1.8047 4.6286
0.7559 -4.5041 5.4159
2.8673 5.3616 -3.6363
Zr Cl Ba
1 1 2
Direct
0.2500 0.7500 0.5000
0.7500 0.2500 0.5000
0.5464 0.5464 0.0000
0.9536 0.9536 0.0000
```

## Properties
Size of the total moment: 3.50 μB per formula unit


iv) # Ba2ZrCl

Crystalline Ba2ZrCl at its relaxed geometry (PBE-GGA, Alexandria).

```
Ba2ZrCl
1.0
9.4447 0.0043 0.0112
-4.0305 4.6832 -0.0030
1.3838 1.2129 3.1481
Cl Ba Zr
1 2 1
Direct
0.0000 0.5000 0.5000
0.0000 0.0000 0.0000
0.5000 0.0000 0.5000
0.5000 0.5000 0.0000
```

## Properties
Size of the total moment: 0.52 μB per formula unit


Least stable of them? iii).


i) # BaZrCl

Crystalline BaZrCl at its relaxed geometry (PBE-GGA, Alexandria).

```
BaZrCl
1.0
7.9166 -0.0038 0.0029
6.8966 3.3490 -0.0175
1.0200 -0.8310 3.2482
Zr Cl Ba
1 1 1
Direct
0.6885 0.6885 0.3115
0.3156 0.3156 0.6844
0.9959 0.9959 0.0041
```

## Properties
Size of the total moment: 0.62 μB per formula unit


ii) # BaZrCl

Crystalline BaZrCl at its relaxed geometry (PBE-GGA, Alexandria).

```
BaZrCl
1.0
-3.5517 -2.5347 2.9246
1.3058 -1.7680 4.7709
-1.9911 2.2926 4.2863
Cl Zr Ba
1 1 1
Direct
0.7500 0.7500 0.7500
0.0000 0.0000 0.0000
0.5000 0.5000 0.5000
```

## Properties
Size of the total moment: 2.86 μB per formula unit


iii) # BaZrCl

Crystalline BaZrCl at its relaxed geometry (PBE-GGA, Alexandria).

```
BaZrCl
1.0
-3.0844 0.4092 -1.8312
0.1474 -2.2701 2.8034
-2.0426 5.6846 4.7106
Cl Ba Zr
1 1 1
Direct
0.6667 0.3333 0.6152
0.0000 0.0000 0.0008
0.3333 0.6667 0.3840
```

## Properties
Size of the total moment: 0.33 μB per formula unit


iv) # BaZrCl

Crystalline BaZrCl at its relaxed geometry (PBE-GGA, Alexandria).

```
BaZrCl
1.0
-6.6494 -2.0660 2.6774
-3.3131 -2.4291 6.2270
4.5301 4.5554 -3.7920
Zr Cl Ba
1 1 1
Direct
0.6953 0.6953 0.0000
0.3096 0.3096 0.0000
0.9951 0.9951 0.0000
```

## Properties
Size of the total moment: 1.00 μB per formula unit


Least stable of them? ii).


i) # BaZrCl6

Crystalline BaZrCl6 at its relaxed geometry (PBE-GGA, Alexandria).

```
BaZrCl6
1.0
-5.0811 3.5057 -3.1498
-6.3360 0.2070 2.8063
-2.2056 6.4826 3.1237
Cl Ba Zr
6 1 1
Direct
0.9530 0.6174 0.2252
0.6172 0.2048 0.2253
0.2049 0.9529 0.2245
0.3829 0.7952 0.7747
0.7951 0.0471 0.7755
0.0470 0.3826 0.7748
0.5000 0.5000 0.5000
0.0000 0.0000 0.0000
```

## Properties
Size of the total moment: 0.00 μB per formula unit


ii) # BaZrCl6

Crystalline BaZrCl6 at its relaxed geometry (PBE-GGA, Alexandria).

```
BaZrCl6
1.0
6.7724 -0.1604 -0.0924
-2.6684 6.2266 -0.0924
-0.8474 -1.2526 6.5546
Cl Ba Zr
6 1 1
Direct
0.5194 0.8268 0.7388
0.7579 0.7579 0.3199
0.8268 0.5194 0.7388
0.2421 0.2421 0.6801
0.4806 0.1732 0.2612
0.1732 0.4806 0.2612
0.0000 0.0000 0.0000
0.5000 0.5000 0.5000
```

## Properties
Size of the total moment: 0.00 μB per formula unit


Least stable of them? ii).


i) # Ba5Co

Crystalline Ba5Co at its relaxed geometry (PBE-GGA, Alexandria).

```
Ba5Co
1.0
-3.6823 -2.0793 9.5063
1.2677 -1.6516 -10.1940
5.4383 -3.7564 1.2849
Co Ba
1 5
Direct
0.1381 0.8619 0.5000
0.7494 0.2506 0.5000
0.6392 0.3608 0.0000
0.3079 0.6921 0.0000
0.9716 0.0284 0.0000
0.5272 0.4728 0.5000
```

## Properties
Size of the total moment: 0.93 μB per formula unit


ii) # Ba5Co

Crystalline Ba5Co at its relaxed geometry (PBE-GGA, Alexandria).

```
Ba5Co
1.0
5.2116 -1.5928 5.5867
-1.2682 -5.8963 4.9533
4.3407 -6.4708 -0.4429
Ba Co
5 1
Direct
0.6259 0.1222 0.6259
0.1222 0.6259 0.6259
0.6259 0.6259 0.6259
0.2500 0.2500 0.2500
0.6259 0.6259 0.1222
0.0000 0.0000 0.0000
```

## Properties
Size of the total moment: 1.67 μB per formula unit


iii) # Ba5Co

Crystalline Ba5Co at its relaxed geometry (PBE-GGA, Alexandria).

```
Ba5Co
1.0
2.0673 7.3554 0.5467
-2.0673 7.3554 0.5467
0.0000 3.3538 10.1574
Ba Co
5 1
Direct
0.0233 0.0233 0.3875
0.3657 0.3657 0.8345
0.3066 0.3066 0.2207
0.6945 0.6945 0.6110
0.0825 0.0825 0.0014
0.6942 0.6942 0.1116
```

## Properties
Size of the total moment: 0.71 μB per formula unit


Least stable of them? ii).


i) # Ba3Co

Crystalline Ba3Co at its relaxed geometry (PBE-GGA, Alexandria).

```
Ba3Co
1.0
9.0984 0.0000 0.0000
-4.5492 7.8794 0.0000
0.0000 0.0000 9.4174
Co Ba
4 12
Direct
0.0000 0.0000 0.5000
0.6667 0.3333 0.7500
0.3333 0.6667 0.2500
0.0000 0.0000 0.0000
0.0000 0.5000 0.0000
0.5000 0.0000 0.0000
0.5000 0.5000 0.5000
0.2631 0.1316 0.2500
0.0000 0.5000 0.5000
0.8684 0.1316 0.2500
0.1316 0.2631 0.7500
0.1316 0.8684 0.7500
0.5000 0.0000 0.5000
0.8684 0.7369 0.2500
0.7369 0.8684 0.7500
0.5000 0.5000 0.0000
```

## Properties
Size of the total moment: 0.55 μB per formula unit


ii) # Ba3Co

Crystalline Ba3Co at its relaxed geometry (PBE-GGA, Alexandria).

```
Ba3Co
1.0
6.0412 0.0000 0.0000
3.0206 5.2318 0.0000
3.0206 1.7439 4.9326
Co Ba
1 3
Direct
0.7500 0.7500 0.7500
0.5000 0.5000 0.5000
0.0000 0.0000 0.0000
0.2500 0.2500 0.2500
```

## Properties
Size of the total moment: 0.80 μB per formula unit


Least stable of them? ii).


i) # Ba5Co4

Crystalline Ba5Co4 at its relaxed geometry (PBE-GGA, Alexandria).

```
Ba5Co4
1.0
3.0792 3.1258 6.1296
-5.7314 1.5600 -4.6412
-2.9826 -6.0736 3.3227
Ba Co
5 4
Direct
0.6850 0.3150 0.0000
0.3150 0.3150 0.6300
0.0000 0.0000 0.0000
0.3150 0.6850 0.0000
0.6850 0.6850 0.3700
0.6088 0.0000 0.6088
0.3912 0.0000 0.3912
0.0000 0.6088 0.6088
0.0000 0.3912 0.3912
```

## Properties
Size of the total moment: 4.99 μB per formula unit


ii) # Ba5Co4

Crystalline Ba5Co4 at its relaxed geometry (PBE-GGA, Alexandria).

```
Ba5Co4
1.0
9.4191 0.0000 0.0000
-4.7096 8.1572 0.0000
0.0000 0.0000 7.5430
Ba Co
10 8
Direct
0.7401 0.7401 0.7500
0.6667 0.3333 0.5000
0.0000 0.2599 0.7500
0.0000 0.7401 0.2500
0.3333 0.6667 0.5000
0.3333 0.6667 0.0000
0.6667 0.3333 0.0000
0.2599 0.2599 0.2500
0.2599 0.0000 0.7500
0.7401 0.0000 0.2500
0.0000 0.3918 0.2500
0.0000 0.6082 0.7500
0.6082 0.6082 0.2500
0.3918 0.0000 0.2500
0.0000 0.0000 0.5000
0.0000 0.0000 0.0000
0.6082 0.0000 0.7500
0.3918 0.3918 0.7500
```

## Properties
Size of the total moment: 3.96 μB per formula unit


Least stable of them? i).